(1)
{
  "formula": "Na2Sn2W",
  "functional": "PBE-GGA",
  "state": "relaxed",
  "cell": [[3.645, 0.000, 0.000], [0.000, 3.645, 0.000], [1.822, 1.822, 8.226]],
  "species": ["Na", "Na", "Sn", "Sn", "W"],
  "fractional_positions": [[0.750, 0.250, 0.500], [0.250, 0.750, 0.500], [0.410, 0.410, 0.181], [0.590, 0.590, 0.819], [0.000, 0.000, 0.000]],
  "delta_e_f_ev_per_atom": 0.576,
  "n_ef_per_ev_cell": 1.7,
  "e_above_lowest_polymorph_ev_per_fu": 0.00,
  "spacegroup": "I4/mmm, No. 139"
}

***

(2)
{
  "formula": "TiTcGeMo",
  "functional": "PBE-GGA",
  "state": "relaxed",
  "cell": [[-3.850, 1.692, 1.270], [-3.287, -2.664, 1.182], [-1.224, -0.243, 4.212]],
  "species": ["Tc", "Ti", "Mo", "Ge"],
  "fractional_positions": [[0.000, 0.000, 0.000], [0.250, 0.250, 0.250], [0.500, 0.500, 0.500], [0.750, 0.750, 0.750]],
  "delta_e_f_ev_per_atom": -0.186,
  "n_ef_per_ev_cell": 5.5,
  "spacegroup": "F-43m, No. 216"
}

***

(3)
{
  "formula": "SmDyGeCl",
  "functional": "PBE-GGA",
  "state": "relaxed",
  "cell": [[-1.695, 2.208, 3.984], [-2.864, -0.403, -3.960], [-1.981, -5.031, 1.945]],
  "species": ["Ge", "Sm", "Cl", "Dy"],
  "fractional_positions": [[0.169, 0.338, 0.000], [0.169, 0.337, 0.500], [0.837, 0.675, 0.500], [0.837, 0.675, 0.000]],
  "raw_formation_energy_ev_per_atom": -0.948,
  "n_ef_per_ev_cell": 1.6,
  "spacegroup": "Amm2, No. 38"
}

***

(4)
{
  "formula": "ErF5",
  "functional": "PBE-GGA",
  "state": "relaxed",
  "cell": [[-2.889, 2.030, 1.822], [0.233, -2.355, 2.992], [3.109, 3.999, 0.474]],
  "species": ["F", "F", "F", "F", "F", "Er"],
  "fractional_positions": [[0.500, 0.867, 0.734], [0.000, 0.636, 0.272], [0.000, 0.364, 0.728], [0.500, 0.133, 0.266], [0.500, 0.500, 0.000], [0.000, 0.000, 0.000]],
  "raw_formation_energy_ev_per_atom": -2.446,
  "n_ef_per_ev_cell": 2.6,
  "spacegroup": "Cmmm, No. 65"
}

***

(5)
{
  "formula": "SrCaLa2Pt",
  "functional": "PBE-GGA",
  "state": "relaxed",
  "cell": [[-1.864, -5.409, 0.166], [0.293, 0.075, 5.716], [-5.825, 2.016, 0.272]],
  "species": ["Ca", "La", "La", "Sr", "Pt"],
  "fractional_positions": [[0.500, 0.500, 0.500], [0.000, 0.500, 0.000], [0.500, 0.000, 0.000], [0.000, 0.000, 0.500], [0.000, 0.000, 0.000]],
  "delta_e_f_ev_per_atom": -0.406,
  "n_ef_per_ev_cell": 6.0,
  "e_above_lowest_polymorph_ev_per_fu": 0.21,
  "spacegroup": "P4/mmm, No. 123"
}

***

(6)
{
  "formula": "RbTbBi2",
  "functional": "PBE-GGA",
  "state": "relaxed",
  "cell": [[4.525, 0.000, 0.000], [2.262, 3.919, 0.000], [2.262, 1.306, 9.143]],
  "species": ["Bi", "Bi", "Tb", "Rb"],
  "fractional_positions": [[0.268, 0.268, 0.195], [0.066, 0.066, 0.803], [0.668, 0.668, 0.997], [0.499, 0.499, 0.504]],
  "delta_e_f_ev_per_atom": -0.359,
  "n_ef_per_ev_cell": 3.1,
  "e_above_lowest_polymorph_ev_per_fu": 0.56,
  "spacegroup": "R3m, No. 160"
}

***

(7)
{
  "formula": "Ba3In9Sn2",
  "functional": "PBE-GGA",
  "state": "relaxed",
  "cell": [[-3.365, -2.341, 2.957], [-5.066, -5.795, -6.033], [3.394, -9.121, 0.963]],
  "species": ["In", "In", "In", "In", "In", "In", "In", "In", "In", "Ba", "Ba", "Ba", "Sn", "Sn"],
  "fractional_positions": [[0.334, 0.293, 0.038], [0.000, 0.500, 0.500], [0.666, 0.962, 0.707], [0.666, 0.707, 0.962], [0.854, 0.418, 0.873], [0.146, 0.127, 0.582], [0.146, 0.582, 0.127], [0.334, 0.038, 0.293], [0.854, 0.873, 0.418], [0.683, 0.317, 0.317], [0.317, 0.683, 0.683], [0.000, 0.000, 0.000], [0.500, 0.717, 0.283], [0.500, 0.283, 0.717]],
  "delta_e_f_ev_per_atom": -0.355,
  "n_ef_per_ev_cell": 6.2,
  "spacegroup": "Immm, No. 71"
}

***

(8)
{
  "formula": "PmZr2H",
  "functional": "PBE-GGA",
  "state": "relaxed",
  "cell": [[-1.686, -2.394, -1.348], [-0.037, -2.917, 1.372], [-7.725, 0.570, 4.793]],
  "species": ["Zr", "Zr", "Pm", "H"],
  "fractional_positions": [[0.117, 0.117, 0.649], [0.883, 0.883, 0.351], [0.000, 0.000, 0.000], [0.500, 0.500, 0.500]],
  "n_ef_per_ev_cell": 5.2,
  "energy_ev_per_atom": -6.22,
  "spacegroup": "R-3m, No. 166"
}

***

(9)
{
  "formula": "AlCuPt",
  "functional": "PBE-GGA",
  "state": "relaxed",
  "cell": [[5.300, 0.000, -0.077], [0.000, 3.953, 0.000], [-1.794, 0.000, 8.024]],
  "species": ["Pt", "Pt", "Pt", "Pt", "Cu", "Cu", "Cu", "Cu", "Al", "Al", "Al", "Al"],
  "fractional_positions": [[0.798, 0.500, 0.670], [0.798, 0.000, 0.170], [0.202, 0.000, 0.830], [0.202, 0.500, 0.330], [0.500, 0.000, 0.500], [0.000, 0.000, 0.500], [0.000, 0.500, 0.000], [0.500, 0.500, 0.000], [0.305, 0.500, 0.658], [0.695, 0.500, 0.342], [0.305, 0.000, 0.158], [0.695, 0.000, 0.842]],
  "delta_e_f_ev_per_atom": -0.657,
  "n_ef_per_ev_cell": 4.2,
  "e_above_lowest_polymorph_ev_per_fu": 0.00,
  "spacegroup": "C2/m, No. 12"
}

***

(10)
{
  "formula": "Hf2CdSbH",
  "functional": "PBE-GGA",
  "state": "relaxed",
  "cell": [[5.563, 0.000, 0.000], [0.000, 3.571, 0.000], [0.000, 0.000, 5.563]],
  "species": ["Cd", "Hf", "Hf", "H", "Sb"],
  "fractional_positions": [[0.500, 0.500, 0.500], [0.500, 0.000, 0.000], [0.000, 0.000, 0.500], [0.000, 0.500, 0.000], [0.000, 0.000, 0.000]],
  "n_ef_per_ev_cell": 4.4,
  "energy_ev_per_atom": -5.05,
  "spacegroup": "P4/mmm, No. 123"
}

***

The evaluated magnetization for the records listed, in turn: 0.0; 0.0; 0.0; 2.0; 0.0; 0.0; 0.0; 0.0; 0.0; 0.0 μB per cell.